[1]
! Tb3Os | Alexandria via LeMat-Bulk | PBEsol | relaxed; values from VASP
&SYSTEM
  ibrav = 0, nat = 16, ntyp = 2
/
ATOMIC_SPECIES
Tb 158.93 Tb.upf
Os 190.23 Os.upf
CELL_PARAMETERS angstrom
6.235 0.000 0.000
0.000 7.308 0.000
0.000 0.000 8.980
ATOMIC_POSITIONS crystal
Tb 0.870 0.538 0.250
Tb 0.167 0.176 0.063
Tb 0.630 0.038 0.250
Tb 0.370 0.962 0.750
Tb 0.833 0.824 0.563
Tb 0.333 0.676 0.437
Tb 0.667 0.324 0.937
Tb 0.167 0.176 0.437
Tb 0.130 0.462 0.750
Tb 0.333 0.676 0.063
Os 0.957 0.116 0.750
Tb 0.667 0.324 0.563
Tb 0.833 0.824 0.937
Os 0.457 0.384 0.250
Os 0.043 0.884 0.250
Os 0.543 0.616 0.750
! total magnetic moment = 0.000 μB per formula unit
! calculated total energy = -7.028 eV per atom
! volume = 25.57 A^3/atom


[2]
! Tc3Os | Alexandria via LeMat-Bulk | PBEsol | relaxed; values from VASP
&SYSTEM
  ibrav = 0, nat = 4, ntyp = 2
/
ATOMIC_SPECIES
Os 190.23 Os.upf
Tc 98.00 Tc.upf
CELL_PARAMETERS angstrom
-0.820 -2.485 0.757
1.369 -1.605 -3.787
4.244 -0.826 1.884
ATOMIC_POSITIONS crystal
Os 0.000 0.000 0.999
Tc 0.000 0.500 0.334
Tc 0.500 0.000 0.500
Tc 0.500 0.500 0.833
! E above lowest polymorph = 0.0041 eV per atom
! total magnetic moment = 0.000 μB per formula unit
! volume = 13.92 A^3/atom


[3]
! Tc3Os | Alexandria via LeMat-Bulk | PBEsol | relaxed; values from VASP
&SYSTEM
  ibrav = 0, nat = 24, ntyp = 2
/
ATOMIC_SPECIES
Tc 98.00 Tc.upf
Os 190.23 Os.upf
CELL_PARAMETERS angstrom
4.712 0.000 0.000
0.000 5.429 0.000
0.000 0.000 13.109
ATOMIC_POSITIONS crystal
Tc 0.998 0.749 0.500
Tc 0.499 0.000 0.500
Tc 0.335 0.749 0.166
Tc 0.335 0.251 0.834
Tc 0.335 0.749 0.834
Os 0.167 0.000 0.665
Tc 0.998 0.251 0.500
Os 0.498 0.000 0.000
Tc 0.665 0.751 0.666
Tc 0.665 0.249 0.334
Os 0.167 0.000 0.335
Tc 0.002 0.249 0.000
Tc 0.501 0.500 0.000
Os 0.502 0.500 0.500
Os 0.833 0.500 0.835
Tc 0.833 0.000 0.836
Tc 0.833 0.000 0.164
Tc 0.002 0.751 0.000
Tc 0.167 0.500 0.664
Tc 0.167 0.500 0.336
Tc 0.665 0.751 0.334
Tc 0.335 0.251 0.166
Os 0.833 0.500 0.165
Tc 0.665 0.249 0.666
! E above lowest polymorph = 0.0664 eV per atom
! total magnetic moment = 0.000 μB per formula unit
! volume = 13.97 A^3/atom


[4]
! Tc3Os | Alexandria via LeMat-Bulk | PBEsol | relaxed; values from VASP
&SYSTEM
  ibrav = 0, nat = 4, ntyp = 2
/
ATOMIC_SPECIES
Tc 98.00 Tc.upf
Os 190.23 Os.upf
CELL_PARAMETERS angstrom
3.826 0.000 0.000
0.000 3.826 0.000
0.000 0.000 3.826
ATOMIC_POSITIONS crystal
Tc 0.000 0.500 0.500
Tc 0.500 0.000 0.500
Tc 0.500 0.500 0.000
Os 0.000 0.000 0.000
! E above lowest polymorph = 0.1108 eV per atom
! total magnetic moment = 0.000 μB per formula unit
! volume = 14.01 A^3/atom


[5]
! TcOs5 | Alexandria via LeMat-Bulk | PBEsol | relaxed; values from VASP
&SYSTEM
  ibrav = 0, nat = 6, ntyp = 2
/
ATOMIC_SPECIES
Os 190.23 Os.upf
Tc 98.00 Tc.upf
CELL_PARAMETERS angstrom
-0.120 -1.753 2.091
2.692 -2.379 -3.623
4.447 3.401 3.105
ATOMIC_POSITIONS crystal
Os 0.667 0.334 0.333
Tc 0.722 0.444 0.944
Os 0.333 0.667 0.668
Os 0.056 0.111 0.612
Os 0.999 0.999 0.000
Os 0.389 0.778 0.277
! E above lowest polymorph = 0.0062 eV per atom
! total magnetic moment = 0.000 μB per formula unit
! volume = 13.93 A^3/atom


[6]
! Tc3Os | Alexandria via LeMat-Bulk | PBEsol | relaxed; values from VASP
&SYSTEM
  ibrav = 0, nat = 16, ntyp = 2
/
ATOMIC_SPECIES
Tc 98.00 Tc.upf
Os 190.23 Os.upf
CELL_PARAMETERS angstrom
-2.863 -4.022 -2.313
5.110 0.992 -1.624
2.973 -5.548 5.967
ATOMIC_POSITIONS crystal
Tc 0.500 0.000 0.500
Tc 0.167 0.335 0.750
Os 0.000 0.000 0.500
Os 0.333 0.667 0.250
Tc 0.000 0.500 0.000
Tc 0.167 0.833 0.750
Tc 0.335 0.167 0.250
Tc 0.500 0.000 0.000
Os 0.000 0.000 0.000
Tc 0.833 0.665 0.250
Tc 0.000 0.500 0.500
Tc 0.833 0.167 0.250
Tc 0.500 0.500 0.500
Tc 0.500 0.500 0.000
Tc 0.665 0.833 0.750
Os 0.667 0.333 0.750
! E above lowest polymorph = 0.0307 eV per atom
! total magnetic moment = 0.000 μB per formula unit
! volume = 13.96 A^3/atom


[7]
! Tc8Os | Alexandria via LeMat-Bulk | PBEsol | relaxed; values from VASP
&SYSTEM
  ibrav = 0, nat = 9, ntyp = 2
/
ATOMIC_SPECIES
Tc 98.00 Tc.upf
Os 190.23 Os.upf
CELL_PARAMETERS angstrom
-0.829 -2.301 2.939
2.094 -5.539 -1.260
4.601 0.186 3.930
ATOMIC_POSITIONS crystal
Tc 0.000 0.332 0.668
Tc 0.668 0.332 0.332
Tc 0.666 0.000 0.669
Tc 0.000 0.668 0.332
Tc 0.332 0.668 0.668
Tc 0.334 0.331 0.000
Tc 0.334 0.000 0.331
Os 0.000 0.000 0.000
Tc 0.666 0.669 0.000
! total magnetic moment = 0.000 μB per formula unit
! calculated total energy = -11.306 eV per atom
! volume = 14.02 A^3/atom


[8]
! TcOs5 | Alexandria via LeMat-Bulk | PBEsol | relaxed; values from VASP
&SYSTEM
  ibrav = 0, nat = 6, ntyp = 2
/
ATOMIC_SPECIES
Os 190.23 Os.upf
Tc 98.00 Tc.upf
CELL_PARAMETERS angstrom
4.303 0.000 0.000
0.000 4.734 0.000
0.000 -2.367 4.100
ATOMIC_POSITIONS crystal
Os 0.500 0.667 0.333
Os 0.000 0.000 0.667
Tc 0.500 0.000 0.000
Os 0.000 0.333 0.333
Os 0.000 0.667 0.000
Os 0.500 0.333 0.667
! E above lowest polymorph = 0.0000 eV per atom
! total magnetic moment = 0.000 μB per formula unit
! volume = 13.92 A^3/atom


[9]
! Tc3Os | Alexandria via LeMat-Bulk | PBEsol | relaxed; values from VASP
&SYSTEM
  ibrav = 0, nat = 16, ntyp = 2
/
ATOMIC_SPECIES
Os 190.23 Os.upf
Tc 98.00 Tc.upf
CELL_PARAMETERS angstrom
4.713 0.000 0.000
0.000 5.456 0.000
0.000 0.000 8.684
ATOMIC_POSITIONS crystal
Os 0.586 0.876 0.750
Tc 0.753 0.624 0.998
Os 0.086 0.624 0.750
Os 0.414 0.124 0.250
Tc 0.247 0.376 0.498
Tc 0.415 0.625 0.250
Tc 0.253 0.876 0.502
Tc 0.247 0.376 0.002
Tc 0.753 0.624 0.502
Os 0.914 0.376 0.250
Tc 0.253 0.876 0.998
Tc 0.747 0.124 0.002
Tc 0.747 0.124 0.498
Tc 0.085 0.125 0.750
Tc 0.585 0.375 0.750
Tc 0.915 0.875 0.250
! E above lowest polymorph = 0.0382 eV per atom
! total magnetic moment = 0.000 μB per formula unit
! volume = 13.96 A^3/atom


[10]
! TcOs4 | Alexandria via LeMat-Bulk | PBEsol | relaxed; values from VASP
&SYSTEM
  ibrav = 0, nat = 5, ntyp = 2
/
ATOMIC_SPECIES
Os 190.23 Os.upf
Tc 98.00 Tc.upf
CELL_PARAMETERS angstrom
-3.983 -0.880 -2.613
2.493 -4.113 0.579
-1.268 1.744 4.338
ATOMIC_POSITIONS crystal
Os 0.000 0.500 0.000
Tc 0.000 0.000 0.000
Os 0.000 0.000 0.500
Os 0.500 0.500 0.500
Os 0.500 0.000 0.000
! total magnetic moment = 0.002 μB per formula unit
! calculated total energy = -10.225 eV per atom
! volume = 17.50 A^3/atom


[11]
! Tc3Os | Alexandria via LeMat-Bulk | PBEsol | relaxed; values from VASP
&SYSTEM
  ibrav = 0, nat = 4, ntyp = 2
/
ATOMIC_SPECIES
Os 190.23 Os.upf
Tc 98.00 Tc.upf
CELL_PARAMETERS angstrom
-0.112 -1.432 -2.309
0.311 -4.014 2.474
-4.423 2.574 0.220
ATOMIC_POSITIONS crystal
Os 0.000 0.001 0.000
Tc 0.500 0.501 0.000
Tc 0.251 0.583 0.502
Tc 0.749 0.081 0.498
! E above lowest polymorph = 0.0000 eV per atom
! total magnetic moment = 0.000 μB per formula unit
! volume = 13.93 A^3/atom


[12]
! Tc3Os | Alexandria via LeMat-Bulk | PBEsol | relaxed; values from VASP
&SYSTEM
  ibrav = 0, nat = 4, ntyp = 2
/
ATOMIC_SPECIES
Tc 98.00 Tc.upf
Os 190.23 Os.upf
CELL_PARAMETERS angstrom
-1.863 -0.336 1.962
-0.479 -0.947 -2.511
3.637 -7.557 2.157
ATOMIC_POSITIONS crystal
Tc 0.667 0.333 0.751
Tc 0.000 0.000 0.500
Os 0.000 0.000 0.000
Tc 0.667 0.333 0.249
! E above lowest polymorph = 0.0245 eV per atom
! total magnetic moment = 0.001 μB per formula unit
! volume = 13.94 A^3/atom


[13]
! TcOs5 | Alexandria via LeMat-Bulk | PBEsol | relaxed; values from VASP
&SYSTEM
  ibrav = 0, nat = 6, ntyp = 2
/
ATOMIC_SPECIES
Os 190.23 Os.upf
Tc 98.00 Tc.upf
CELL_PARAMETERS angstrom
2.732 0.000 0.000
0.000 4.307 0.000
-1.366 0.000 7.101
ATOMIC_POSITIONS crystal
Os 0.667 0.000 0.334
Os 0.555 0.500 0.111
Os 0.222 0.500 0.445
Os 0.334 0.000 0.667
Tc 0.889 0.500 0.778
Os 0.999 0.000 0.999
! E above lowest polymorph = 0.0054 eV per atom
! total magnetic moment = 0.000 μB per formula unit
! volume = 13.93 A^3/atom


[14]
! TcTe2Os | Alexandria via LeMat-Bulk | PBEsol | relaxed; values from VASP
&SYSTEM
  ibrav = 0, nat = 4, ntyp = 3
/
ATOMIC_SPECIES
Te 127.60 Te.upf
Tc 98.00 Tc.upf
Os 190.23 Os.upf
CELL_PARAMETERS angstrom
-2.125 -1.554 -1.763
2.471 -4.318 -2.018
-0.721 -4.814 2.265
ATOMIC_POSITIONS crystal
Te 0.753 0.247 0.247
Te 0.247 0.753 0.753
Tc 0.000 0.500 0.500
Os 0.500 0.000 0.000
! E above lowest polymorph = 0.1811 eV per atom
! total magnetic moment = 0.001 μB per formula unit
! raw formation energy = 1.07 eV per atom
! volume = 18.58 A^3/atom


[15]
! TcTe2Os | Alexandria via LeMat-Bulk | PBEsol | relaxed; values from VASP
&SYSTEM
  ibrav = 0, nat = 4, ntyp = 3
/
ATOMIC_SPECIES
Te 127.60 Te.upf
Os 190.23 Os.upf
Tc 98.00 Tc.upf
CELL_PARAMETERS angstrom
3.907 0.000 0.000
0.000 3.907 0.000
-1.954 -1.954 4.688
ATOMIC_POSITIONS crystal
Te 0.750 0.250 0.500
Te 0.000 0.000 0.000
Os 0.500 0.500 0.000
Tc 0.250 0.750 0.500
! E above lowest polymorph = 0.0000 eV per atom
! total magnetic moment = 0.001 μB per formula unit
! raw formation energy = 0.89 eV per atom
! volume = 17.89 A^3/atom


[16]
! TcTeOs | Alexandria via LeMat-Bulk | PBEsol | relaxed; values from VASP
&SYSTEM
  ibrav = 0, nat = 3, ntyp = 3
/
ATOMIC_SPECIES
Os 190.23 Os.upf
Te 127.60 Te.upf
Tc 98.00 Tc.upf
CELL_PARAMETERS angstrom
4.251 0.000 0.000
2.125 3.681 0.000
2.125 1.227 3.471
ATOMIC_POSITIONS crystal
Os 0.000 0.000 0.000
Te 0.250 0.250 0.250
Tc 0.500 0.500 0.500
! total magnetic moment = 0.003 μB per formula unit
! raw formation energy = 0.92 eV per atom
! volume = 18.11 A^3/atom


[17]
! ZrTiTc2Os | Alexandria via LeMat-Bulk | PBEsol | relaxed; values from VASP
&SYSTEM
  ibrav = 0, nat = 5, ntyp = 4
/
ATOMIC_SPECIES
Os 190.23 Os.upf
Tc 98.00 Tc.upf
Zr 91.22 Zr.upf
Ti 47.87 Ti.upf
CELL_PARAMETERS angstrom
4.502 0.000 0.000
0.000 4.682 0.000
0.000 0.000 4.682
ATOMIC_POSITIONS crystal
Os 0.000 0.000 0.000
Tc 0.000 0.000 0.500
Zr 0.500 0.500 0.500
Tc 0.000 0.500 0.000
Ti 0.500 0.000 0.000
! total magnetic moment = 0.003 μB per formula unit
! calculated total energy = -9.463 eV per atom
! volume = 19.73 A^3/atom


[18]
! TlTcOs | Alexandria via LeMat-Bulk | PBEsol | relaxed; values from VASP
&SYSTEM
  ibrav = 0, nat = 3, ntyp = 3
/
ATOMIC_SPECIES
Os 190.23 Os.upf
Tc 98.00 Tc.upf
Tl 204.38 Tl.upf
CELL_PARAMETERS angstrom
-2.364 1.511 -0.197
-2.413 -3.637 1.058
1.479 2.735 3.240
ATOMIC_POSITIONS crystal
Os 0.168 0.000 0.000
Tc 0.667 0.667 0.333
Tl 0.164 0.333 0.667
! total magnetic moment = 0.000 μB per formula unit
! calculated total energy = -7.757 eV per atom
! volume = 16.37 A^3/atom


[19]
! Tl3TcOs | Alexandria via LeMat-Bulk | PBEsol | relaxed; values from VASP
&SYSTEM
  ibrav = 0, nat = 5, ntyp = 3
/
ATOMIC_SPECIES
Tl 204.38 Tl.upf
Tc 98.00 Tc.upf
Os 190.23 Os.upf
CELL_PARAMETERS angstrom
-4.642 1.786 1.405
-1.962 -4.763 -0.426
1.148 -0.915 4.956
ATOMIC_POSITIONS crystal
Tl 0.500 0.000 0.000
Tl 0.000 0.500 0.000
Tl 0.000 0.000 0.500
Tc 0.500 0.500 0.500
Os 0.000 0.000 0.000
! total magnetic moment = 4.643 μB per formula unit
! calculated total energy = -4.757 eV per atom
! volume = 27.62 A^3/atom


[20]
! TlTcOs2 | Alexandria via LeMat-Bulk | PBEsol | relaxed; values from VASP
&SYSTEM
  ibrav = 0, nat = 4, ntyp = 3
/
ATOMIC_SPECIES
Tc 98.00 Tc.upf
Tl 204.38 Tl.upf
Os 190.23 Os.upf
CELL_PARAMETERS angstrom
2.818 0.000 0.000
1.409 2.441 0.000
1.409 0.814 9.170
ATOMIC_POSITIONS crystal
Tc 0.500 0.500 0.500
Tl 0.000 0.000 0.000
Os 0.758 0.758 0.727
Os 0.242 0.242 0.273
! total magnetic moment = 0.001 μB per formula unit
! calculated total energy = -9.017 eV per atom
! volume = 15.77 A^3/atom


[21]
! TlTc2Os | Alexandria via LeMat-Bulk | PBEsol | relaxed; values from VASP
&SYSTEM
  ibrav = 0, nat = 4, ntyp = 3
/
ATOMIC_SPECIES
Tl 204.38 Tl.upf
Tc 98.00 Tc.upf
Os 190.23 Os.upf
CELL_PARAMETERS angstrom
2.793 -0.002 0.000
-1.300 2.472 0.000
0.000 0.000 9.326
ATOMIC_POSITIONS crystal
Tl 0.000 0.000 0.501
Tc 0.500 0.500 0.771
Os 0.500 0.500 0.230
Tc 0.000 0.000 0.998
! total magnetic moment = 0.004 μB per formula unit
! calculated total energy = -8.572 eV per atom
! volume = 16.09 A^3/atom


[22]
! Tl2Tc2Os | Alexandria via LeMat-Bulk | PBEsol | relaxed; values from VASP
&SYSTEM
  ibrav = 0, nat = 5, ntyp = 3
/
ATOMIC_SPECIES
Tl 204.38 Tl.upf
Os 190.23 Os.upf
Tc 98.00 Tc.upf
CELL_PARAMETERS angstrom
5.173 -0.012 -0.017
-2.526 4.514 0.017
-2.526 -1.544 4.242
ATOMIC_POSITIONS crystal
Tl 0.500 0.750 0.250
Tl 0.500 0.250 0.750
Os 0.000 0.000 0.000
Tc 0.000 0.648 0.648
Tc 0.000 0.352 0.352
! total magnetic moment = 2.100 μB per formula unit
! calculated total energy = -6.534 eV per atom
! volume = 19.76 A^3/atom


[23]
! TlTc3Os | Alexandria via LeMat-Bulk | PBEsol | relaxed; values from VASP
&SYSTEM
  ibrav = 0, nat = 5, ntyp = 3
/
ATOMIC_SPECIES
Tc 98.00 Tc.upf
Tl 204.38 Tl.upf
Os 190.23 Os.upf
CELL_PARAMETERS angstrom
4.678 0.000 0.000
0.000 4.678 0.000
0.000 0.000 4.678
ATOMIC_POSITIONS crystal
Tc 0.000 0.500 0.000
Tl 0.500 0.500 0.500
Os 0.000 0.000 0.000
Tc 0.000 0.000 0.500
Tc 0.500 0.000 0.000
! total magnetic moment = 2.756 μB per formula unit
! calculated total energy = -7.984 eV per atom
! volume = 20.48 A^3/atom


[24]
! V2TcOs | Alexandria via LeMat-Bulk | PBEsol | relaxed; values from VASP
&SYSTEM
  ibrav = 0, nat = 4, ntyp = 3
/
ATOMIC_SPECIES
Os 190.23 Os.upf
V 50.94 V.upf
Tc 98.00 Tc.upf
CELL_PARAMETERS angstrom
-4.169 0.148 -0.661
-2.661 -0.049 3.280
-2.175 3.478 1.007
ATOMIC_POSITIONS crystal
Os 0.000 0.000 0.000
V 0.250 0.250 0.250
V 0.750 0.750 0.750
Tc 0.500 0.500 0.500
! total magnetic moment = 0.000 μB per formula unit
! calculated total energy = -11.027 eV per atom
! volume = 13.32 A^3/atom


[25]
! ZnTcOs2W | Alexandria via LeMat-Bulk | PBEsol | relaxed; values from VASP
&SYSTEM
  ibrav = 0, nat = 5, ntyp = 4
/
ATOMIC_SPECIES
Zn 65.41 Zn.upf
Tc 98.00 Tc.upf
W 183.84 W.upf
Os 190.23 Os.upf
CELL_PARAMETERS angstrom
4.337 0.000 0.000
0.000 4.337 0.000
0.000 0.000 4.418
ATOMIC_POSITIONS crystal
Zn 0.000 0.000 0.000
Tc 0.500 0.500 0.500
W 0.000 0.000 0.500
Os 0.000 0.500 0.000
Os 0.500 0.000 0.000
! total magnetic moment = 0.182 μB per formula unit
! calculated total energy = -8.109 eV per atom
! volume = 16.62 A^3/atom


[26]
! Y2TcOs | Alexandria via LeMat-Bulk | PBEsol | relaxed; values from VASP
&SYSTEM
  ibrav = 0, nat = 4, ntyp = 3
/
ATOMIC_SPECIES
Os 190.23 Os.upf
Y 88.91 Y.upf
Tc 98.00 Tc.upf
CELL_PARAMETERS angstrom
-3.527 1.822 0.360
-0.122 -0.999 3.857
4.088 3.744 -0.961
ATOMIC_POSITIONS crystal
Os 0.500 0.500 0.000
Y 0.750 0.250 0.500
Tc 0.250 0.750 0.500
Y 0.000 0.000 0.000
! total magnetic moment = 0.000 μB per formula unit
! calculated total energy = -8.953 eV per atom
! volume = 19.34 A^3/atom